Here is a relaxed structure of AgW2O8 from the Alexandria database. Energies are from PBE with a Hubbard U.

Cell lengths 5.943, 5.943, 6.276 Å; angles 90.00, 90.00, 120.00 degrees
Fractional coordinates of all 11 atoms:
Ag 0.000 0.000 0.000
W 0.333 0.667 0.279
W 0.667 0.333 0.721
O 0.162 0.324 0.200
O 0.162 0.838 0.200
O 0.324 0.162 0.800
O 0.333 0.667 0.560
O 0.667 0.333 0.440
O 0.676 0.838 0.200
O 0.838 0.162 0.800
O 0.838 0.676 0.800

## Properties
**Total moment**: 0.001 μB/f.u.
**DOS(E_F)**: 0.970 states/eV/atom
**Volume**: 17.45 A^3/atom
**SG**: P-3m1
**Electronic total energy**: -6.220 eV/atom